(1)
SrLa2InRu | meta-GGA SCAN | single point on PBEsol structure

Results
- Symmetry: No. 123
- Crystal system: tetragonal
- E_form: -1.7 eV per formula unit

a b c (Å): 5.388 5.388 5.427
angles (deg): 90.00 90.00 90.00
Sites, in units of the cell vectors:
Ru (0.000, 0.000, 0.000)
In (0.000, 0.000, 0.500)
Sr (0.500, 0.500, 0.500)
La (0.000, 0.500, 0.000)
La (0.500, 0.000, 0.000)

(2)
Ni5As2 | meta-GGA SCAN | single point on PBEsol structure

Results
- Symmetry: No. 185
- Crystal system: hexagonal
- E_form: -1.8 eV per formula unit

a b c (Å): 6.722 6.722 12.344
angles (deg): 90.00 90.00 120.00
Sites, in units of the cell vectors:
As (0.669, 0.000, 0.002)
As (0.331, 0.331, 0.002)
As (0.000, 0.669, 0.002)
As (0.331, 0.000, 0.502)
As (0.669, 0.669, 0.502)
As (0.000, 0.331, 0.502)
As (0.667, 0.333, 0.729)
As (0.333, 0.667, 0.229)
As (0.667, 0.333, 0.229)
As (0.333, 0.667, 0.729)
As (0.000, 0.000, 0.771)
As (0.000, 0.000, 0.271)
Ni (0.000, 0.000, 0.075)
Ni (0.000, 0.000, 0.575)
Ni (0.667, 0.333, 0.931)
Ni (0.333, 0.667, 0.431)
Ni (0.667, 0.333, 0.431)
Ni (0.333, 0.667, 0.931)
Ni (0.252, 0.000, 0.904)
Ni (0.748, 0.748, 0.904)
Ni (0.000, 0.252, 0.904)
Ni (0.748, 0.000, 0.404)
Ni (0.252, 0.252, 0.404)
Ni (0.000, 0.748, 0.404)
Ni (0.625, 0.000, 0.806)
Ni (0.375, 0.375, 0.806)
Ni (0.000, 0.625, 0.806)
Ni (0.375, 0.000, 0.306)
Ni (0.625, 0.625, 0.306)
Ni (0.000, 0.375, 0.306)
Ni (0.310, 0.000, 0.697)
Ni (0.690, 0.690, 0.697)
Ni (0.000, 0.310, 0.697)
Ni (0.690, 0.000, 0.197)
Ni (0.310, 0.310, 0.197)
Ni (0.000, 0.690, 0.197)
Ni (0.626, 0.000, 0.594)
Ni (0.374, 0.374, 0.594)
Ni (0.000, 0.626, 0.594)
Ni (0.374, 0.000, 0.094)
Ni (0.626, 0.626, 0.094)
Ni (0.000, 0.374, 0.094)

(3)
La2Sc | meta-GGA SCAN | single point on PBEsol structure

Results
- Relative energy among the computed polymorphs: 13.1 meV/atom
- Symmetry: No. 15
- Crystal system: monoclinic
- E_form: 0.2 eV per formula unit

a b c (Å): 6.164 6.164 6.601
angles (deg): 90.55 117.25 119.96
Sites, in units of the cell vectors:
Sc (0.686, 0.436, 0.250)
Sc (0.314, 0.564, 0.750)
La (0.968, 0.079, 0.230)
La (0.349, 0.738, 0.270)
La (0.651, 0.262, 0.730)
La (0.032, 0.921, 0.770)

(4)
InSnPb2 | meta-GGA SCAN | single point on PBEsol structure

Results
- Symmetry: No. 225
- Crystal system: cubic
- E_form: 0.4 eV per formula unit

a b c (Å): 5.398 5.398 5.398
angles (deg): 60.00 60.00 60.00
Sites, in units of the cell vectors:
Pb (0.250, 0.250, 0.250)
Pb (0.750, 0.750, 0.750)
Sn (0.500, 0.500, 0.500)
In (0.000, 0.000, 0.000)